First-principles (PBE) data for crystalline La2Ta at its relaxed geometry, as listed in Alexandria via LeMat-Bulk.

a b c (Å): 5.4466 5.4466 3.1513
angles (deg): 90.00 90.00 120.00
With the nearest neighbours (Å) after each atom.
Positions (direct):
La (0.6667, 0.3333, 0.0000)  5 La 3.14-3.15, 6 Ta 3.52
La (0.3333, 0.6667, 0.0000)  5 La 3.14-3.15, 6 Ta 3.52
Ta (0.0000, 0.0000, 0.5000)  2 Ta 3.15, 12 La 3.52

Computed properties:
DFT formation energy in eV/atom: 0.517
Energy above the lowest structure with this stoichiometry in meV/atom: 240


First-principles (PBE) data for crystalline SiRh2Se at its relaxed geometry, as listed in Alexandria via LeMat-Bulk.

a b c (Å): 5.2281 5.2281 6.9054
angles (deg): 67.76 67.76 90.00
With the nearest neighbours (Å) after each atom.
Positions (direct):
Si (0.5000, 0.5000, 0.0000)  4 Rh 2.29
Si (0.2500, 0.7500, 0.5000)  4 Rh 2.29
Rh (0.6032, 0.1250, 0.2500)  2 Si 2.29, 2 Se 2.42
Rh (0.1468, 0.6250, 0.2500)  2 Si 2.29, 2 Se 2.42
Rh (0.3750, 0.3968, 0.7500)  2 Si 2.29, 2 Se 2.42
Rh (0.8750, 0.8532, 0.7500)  2 Si 2.29, 2 Se 2.42
Se (0.0000, 0.0000, 0.0000)  4 Rh 2.42
Se (0.7500, 0.2500, 0.5000)  4 Rh 2.42

Computed properties:
E_form (uncorrected) in eV per atom: -0.194
Energy above the lowest structure with this stoichiometry in meV/atom: 283


First-principles (PBE) data for crystalline SrEuAlBiO6 at its relaxed geometry, as listed in Alexandria via LeMat-Bulk.

a b c (Å): 5.7117 5.7117 5.7117
angles (deg): 60.00 60.00 60.00
With the nearest neighbours (Å) after each atom.
Positions (direct):
Sr (0.2500, 0.2500, 0.2500)  12 O 2.86
Eu (0.7500, 0.7500, 0.7500)  12 O 2.86
Al (0.0000, 0.0000, 0.0000)  6 O 1.92
Bi (0.5000, 0.5000, 0.5000)  6 O 2.12
O (0.2371, 0.7629, 0.2371)  1 Al 1.92, 1 Bi 2.12
O (0.7629, 0.2371, 0.7629)  1 Al 1.92, 1 Bi 2.12
O (0.2371, 0.7629, 0.7629)  1 Al 1.92, 1 Bi 2.12
O (0.7629, 0.2371, 0.2371)  1 Al 1.92, 1 Bi 2.12
O (0.2371, 0.2371, 0.7629)  1 Al 1.92, 1 Bi 2.12
O (0.7629, 0.7629, 0.2371)  1 Al 1.92, 1 Bi 2.12

Computed properties:
E_form (uncorrected) in eV per atom: -2.226


First-principles (PBE) data for crystalline TlZn2Fe at its relaxed geometry, as listed in Alexandria via LeMat-Bulk.

a b c (Å): 4.9068 4.9068 3.0485
angles (deg): 90.00 90.00 111.72
With the nearest neighbours (Å) after each atom.
Positions (direct):
Fe (0.5000, 0.0000, 0.5000)  2 Tl 2.75, 8 Zn 2.89, 2 Fe 3.05
Tl (0.0000, 0.5000, 0.5000)  2 Fe 2.75, 8 Zn 2.89, 2 Tl 3.05
Zn (0.0000, 0.0000, 0.0000)  4 Zn 2.75-3.05, 4 Fe 2.89, 4 Tl 2.89
Zn (0.5000, 0.5000, 0.0000)  4 Zn 2.75-3.05, 4 Tl 2.89, 4 Fe 2.89

Computed properties:
DFT formation energy in eV/atom: 0.381
Energy above the lowest structure with this stoichiometry in meV/atom: 134


First-principles (PBE) data for crystalline Ca2In2Hg5 at its relaxed geometry, as listed in Alexandria via LeMat-Bulk.

a b c (Å): 8.7558 5.8703 10.7920
angles (deg): 105.78 113.93 90.00
With the nearest neighbours (Å) after each atom.
Positions (direct):
Ca (0.1879, 0.4663, 0.1540)  5 Hg 3.17-3.47, 3 In 3.27-3.45, 1 Ca 3.49
Ca (0.8121, 0.3122, 0.8460)  5 Hg 3.17-3.47, 3 In 3.27-3.45, 1 Ca 3.49
Ca (0.4662, 0.9663, 0.1540)  5 Hg 3.17-3.47, 3 In 3.27-3.45, 1 Ca 3.49
Ca (0.5338, 0.8122, 0.8460)  5 Hg 3.17-3.47, 3 In 3.27-3.45, 1 Ca 3.49
In (0.0000, 0.8821, 0.0000)  6 Hg 3.05-3.19, 2 Ca 3.38
In (0.5000, 0.3821, 0.0000)  6 Hg 3.05-3.19, 2 Ca 3.38
In (0.3345, 0.6198, 0.5000)  8 Hg 3.26-3.42, 2 Ca 3.27
In (0.6655, 0.1198, 0.5000)  8 Hg 3.26-3.42, 2 Ca 3.27
Hg (0.1812, 0.5769, 0.8360)  3 Hg 2.94-3.20, 2 In 3.05-3.07
Hg (0.8188, 0.7409, 0.1640)  3 Hg 2.94-3.20, 2 In 3.05-3.07
Hg (0.1548, 0.0769, 0.8360)  3 Hg 2.94-3.20, 2 In 3.05-3.07
Hg (0.8452, 0.2409, 0.1640)  3 Hg 2.94-3.20, 2 In 3.05-3.07
Hg (0.2465, 0.0506, 0.3304)  3 Ca 3.17-3.40, 4 In 3.19-3.42, 2 Hg 3.19-3.25
Hg (0.7535, 0.7202, 0.6696)  3 Ca 3.17-3.40, 4 In 3.19-3.42, 2 Hg 3.19-3.25
Hg (0.5839, 0.5506, 0.3304)  3 Ca 3.17-3.40, 4 In 3.19-3.42, 2 Hg 3.19-3.25
Hg (0.4161, 0.2202, 0.6696)  3 Ca 3.17-3.40, 4 In 3.19-3.42, 2 Hg 3.19-3.25
Hg (0.0286, 0.9670, 0.5000)  6 Hg 2.98-3.25, 1 In 3.30
Hg (0.9714, 0.4670, 0.5000)  6 Hg 2.98-3.25, 1 In 3.30

Computed properties:
DFT formation energy in eV/atom: -0.218
Energy above the lowest structure with this stoichiometry in meV/atom: 18


First-principles (PBE) data for crystalline Ca3CeEr2As6 at its relaxed geometry, as listed in Alexandria via LeMat-Bulk.

a b c (Å): 7.2481 7.2481 7.2678
angles (deg): 99.56 99.56 120.03
With the nearest neighbours (Å) after each atom.
Positions (direct):
Ca (0.1667, 0.8333, 0.5000)  6 As 3.02-3.03
Ca (0.8333, 0.1667, 0.5000)  6 As 3.02-3.03
Ca (0.5000, 0.5000, 0.5000)  6 As 3.02-3.03
Ce (0.0000, 0.0000, 0.0000)  6 As 2.91
Er (0.3331, 0.6669, 0.0000)  6 As 2.90
Er (0.6669, 0.3331, 0.0000)  6 As 2.90
As (0.9216, 0.5872, 0.7651)  2 Er 2.90, 1 Ce 2.91, 3 Ca 3.02-3.03
As (0.7434, 0.7434, 0.2345)  2 Er 2.90, 1 Ce 2.91, 3 Ca 3.02-3.03
As (0.0784, 0.4128, 0.2349)  2 Er 2.90, 1 Ce 2.91, 3 Ca 3.02-3.03
As (0.5872, 0.9216, 0.7651)  2 Er 2.90, 1 Ce 2.91, 3 Ca 3.02-3.03
As (0.2566, 0.2566, 0.7655)  2 Er 2.90, 1 Ce 2.91, 3 Ca 3.02-3.03
As (0.4128, 0.0784, 0.2349)  2 Er 2.90, 1 Ce 2.91, 3 Ca 3.02-3.03

Computed properties:
DFT formation energy in eV/atom: -1.222


no.,magnetic moment (μB per cell)
1,0.0
2,0.0
3,6.7
4,2.4
5,0.0
6,0.0